First-principles (PBE) data for a geometry-optimized RbTl6Hg3 structure, as listed in Alexandria.

Calculated values
DFT formation energy in eV per atom: -0.0420
Raw total energy in eV/cell: -33.0
Space group: P2_1/c, No. 14

Cell lengths 9.787, 7.010, 9.665 Å; angles 93.96, 90.00, 90.00 degrees
Element x y z (fractional)
Hg 0.141 0.281 0.388
Rb 0.500 0.500 0.500
Tl 0.390 0.302 0.874
Tl 0.863 0.464 0.305
Tl 0.890 0.198 0.626
Tl 0.363 0.036 0.195
Rb 0.000 0.000 0.000
Tl 0.787 0.978 0.343
Tl 0.287 0.522 0.157
Hg 0.000 0.500 0.000
Hg 0.500 0.000 0.500
Tl 0.637 0.964 0.805
Hg 0.859 0.719 0.612
Tl 0.213 0.022 0.657
Hg 0.641 0.219 0.112
Tl 0.610 0.698 0.126
Tl 0.713 0.478 0.843
Hg 0.359 0.781 0.888
Tl 0.137 0.536 0.695
Tl 0.110 0.802 0.374



First-principles (PBE) data for a geometry-optimized RbTl2Hg6 structure, as listed in Alexandria.

Calculated values
DFT formation energy in eV per atom: -0.0876
Offset from the most stable computed form in eV/f.u.: 0.000
Raw total energy in eV/cell: -8.3
Space group: Immm, No. 71

Cell lengths 3.634, 9.201, 9.201 Å; angles 70.64, 78.61, 78.61 degrees
Element x y z (fractional)
Tl 0.629 0.871 0.871
Hg 0.813 0.524 0.850
Tl 0.371 0.129 0.129
Hg 0.813 0.850 0.524
Hg 0.187 0.476 0.150
Hg 0.000 0.807 0.193
Rb 0.500 0.500 0.500
Hg 0.187 0.150 0.476
Hg 0.000 0.193 0.807



First-principles (PBE) data for a geometry-optimized RbTl5Hg structure, as listed in Alexandria.

Calculated values
DFT formation energy in eV per atom: -0.0185
Raw total energy in eV/cell: -13.2
Space group: P4/mmm, No. 123

Cell lengths 5.138, 5.138, 9.891 Å; angles 90.00, 90.00, 90.00 degrees
Element x y z (fractional)
Tl 0.000 0.000 0.000
Hg 0.500 0.500 0.000
Rb 0.000 0.000 0.500
Tl 0.000 0.500 0.209
Tl 0.500 0.000 0.209
Tl 0.000 0.500 0.791
Tl 0.500 0.000 0.791



First-principles (PBE) data for a geometry-optimized RbTl4Hg6 structure, as listed in Alexandria.

Calculated values
DFT formation energy in eV per atom: -0.0684
Raw total energy in eV/cell: -13.0
Space group: P-6, No. 174

Cell lengths 5.215, 8.821, 8.821 Å; angles 120.00, 90.00, 90.00 degrees
Element x y z (fractional)
Hg 0.500 0.733 0.928
Tl 0.500 0.612 0.537
Rb 0.000 0.333 0.667
Hg 0.500 0.072 0.805
Tl 0.500 0.463 0.076
Tl 0.500 0.924 0.388
Hg 0.000 0.854 0.573
Hg 0.000 0.427 0.280
Hg 0.500 0.195 0.267
Hg 0.000 0.720 0.146
Tl 0.000 0.000 0.000



First-principles (PBE) data for a geometry-optimized RbTl2Hg3 structure, as listed in Alexandria.

Calculated values
DFT formation energy in eV per atom: -0.1090
Raw total energy in eV/cell: -14.5
Space group: Cmcm, No. 63

Cell lengths 7.230, 7.598, 7.598 Å; angles 100.06, 90.00, 90.00 degrees
Element x y z (fractional)
Tl 0.000 0.224 0.776
Tl 0.500 0.224 0.776
Tl 0.500 0.776 0.224
Hg 0.250 0.857 0.568
Tl 0.000 0.776 0.224
Hg 0.750 0.024 0.024
Hg 0.250 0.976 0.976
Hg 0.250 0.568 0.857
Rb 0.750 0.662 0.662
Hg 0.750 0.143 0.432
Hg 0.750 0.432 0.143
Rb 0.250 0.338 0.338



First-principles (PBE) data for a geometry-optimized RbTl14Hg structure, as listed in Alexandria.

Calculated values
DFT formation energy in eV per atom: -0.0008
Raw total energy in eV/cell: -34.4
Space group: Amm2, No. 38

Cell lengths 7.240, 7.240, 11.380 Å; angles 90.00, 90.00, 121.67 degrees
Element x y z (fractional)
Tl 0.222 0.778 0.000
Tl 0.867 0.133 0.238
Tl 0.383 0.126 0.239
Tl 0.378 0.622 0.264
Rb 0.031 0.969 0.500
Tl 0.708 0.781 0.000
Tl 0.867 0.133 0.762
Tl 0.219 0.292 0.000
Tl 0.378 0.622 0.736
Tl 0.383 0.126 0.761
Tl 0.023 0.464 0.500
Tl 0.874 0.617 0.761
Tl 0.713 0.287 0.000
Tl 0.536 0.977 0.500
Tl 0.874 0.617 0.239
Hg 0.543 0.457 0.500



First-principles (PBE) data for a geometry-optimized Rb3Tl8Hg structure, as listed in Alexandria.

Calculated values
DFT formation energy in eV per atom: -0.0534
Offset from the most stable computed form in eV/f.u.: 0.000
Raw total energy in eV/cell: -22.8
Space group: P3m1, No. 156

Cell lengths 6.872, 6.872, 10.538 Å; angles 90.00, 90.00, 120.00 degrees
Element x y z (fractional)
Tl 0.001 0.500 0.744
Tl 0.500 0.500 0.744
Hg 0.000 0.000 0.567
Rb 0.000 0.000 0.922
Tl 0.333 0.667 0.003
Tl 0.162 0.324 0.256
Tl 0.676 0.838 0.256
Tl 0.333 0.667 0.497
Tl 0.500 0.999 0.744
Tl 0.162 0.838 0.256
Rb 0.667 0.333 0.063
Rb 0.667 0.333 0.447



First-principles (PBE) data for a geometry-optimized RbTl12Hg6 structure, as listed in Alexandria.

Calculated values
DFT formation energy in eV per atom: 0.0456
Offset from the most stable computed form in eV/f.u.: 0.765
Raw total energy in eV/cell: -30.3
Space group: R-3m, No. 166

Cell lengths 9.559, 9.559, 9.559 Å; angles 109.16, 109.16, 109.16 degrees
Element x y z (fractional)
Tl 0.829 0.525 0.525
Tl 0.475 0.475 0.171
Tl 0.169 0.831 0.500
Tl 0.831 0.169 0.500
Tl 0.475 0.171 0.475
Hg 0.134 0.134 0.465
Hg 0.535 0.866 0.866
Tl 0.171 0.475 0.475
Tl 0.500 0.169 0.831
Tl 0.525 0.525 0.829
Hg 0.465 0.134 0.134
Tl 0.500 0.831 0.169
Tl 0.169 0.500 0.831
Rb 0.000 0.000 0.000
Hg 0.134 0.465 0.134
Hg 0.866 0.535 0.866
Tl 0.525 0.829 0.525
Tl 0.831 0.500 0.169
Hg 0.866 0.866 0.535



> Which value of raw total energy does entry 8 give?

-30.3 eV/cell



> What is the formula in the third record?

RbTl5Hg



What did the eighth record say?
First-principles (PBE) data for a geometry-optimized RbTl12Hg6 structure, as listed in Alexandria.

Calculated values
DFT formation energy in eV per atom: 0.0456
Offset from the most stable computed form in eV/f.u.: 0.765
Raw total energy in eV/cell: -30.3
Space group: R-3m, No. 166

Cell lengths 9.559, 9.559, 9.559 Å; angles 109.16, 109.16, 109.16 degrees
Element x y z (fractional)
Tl 0.829 0.525 0.525
Tl 0.475 0.475 0.171
Tl 0.169 0.831 0.500
Tl 0.831 0.169 0.500
Tl 0.475 0.171 0.475
Hg 0.134 0.134 0.465
Hg 0.535 0.866 0.866
Tl 0.171 0.475 0.475
Tl 0.500 0.169 0.831
Tl 0.525 0.525 0.829
Hg 0.465 0.134 0.134
Tl 0.500 0.831 0.169
Tl 0.169 0.500 0.831
Rb 0.000 0.000 0.000
Hg 0.134 0.465 0.134
Hg 0.866 0.535 0.866
Tl 0.525 0.829 0.525
Tl 0.831 0.500 0.169
Hg 0.866 0.866 0.535



> Among the records above, which one has the highest raw total energy?

RbTl2Hg6